(1)
The following is a PBE-GGA calculation of crystalline Nb3FeSe6 at its relaxed geometry, from the Alexandria database.

Lattice parameters (Å, degrees): 8.3494 8.3494 6.1419 90.00 90.00 101.50
Element x y z (fractional)
Nb1 0.1007 0.8993 0.5000
Nb2 0.2282 0.4960 0.4920
Nb3 0.4960 0.2282 0.9920
Nb4 0.5040 0.7718 0.4920
Nb5 0.7718 0.5040 0.9920
Nb6 0.8993 0.1007 0.0000
Fe1 0.2766 0.7234 0.7993
Fe2 0.7234 0.2766 0.2993
Se1 0.0106 0.6133 0.6894
Se2 0.1072 0.1987 0.6666
Se3 0.1987 0.1072 0.1666
Se4 0.2732 0.7268 0.2039
Se5 0.3867 0.9894 0.6894
Se6 0.4579 0.5421 0.7833
Se7 0.5421 0.4579 0.2833
Se8 0.6133 0.0106 0.1894
Se9 0.7268 0.2732 0.7039
Se10 0.8013 0.8928 0.6666
Se11 0.8928 0.8013 0.1666
Se12 0.9894 0.3867 0.1894

## Properties
Space group: No. 36
Crystal system: orthorhombic
Formation energy (no corrections): -0.4958 eV/atom
Excess energy over the best structure of this formula in the dataset: 2.75 eV per formula unit

(2)
The following is a PBE-GGA calculation of crystalline LiY2Pd at its relaxed geometry, from the Alexandria database.

Lattice parameters (Å, degrees): 6.4588 6.4588 6.4588 104.54 104.54 119.86
Element x y z (fractional)
Li1 0.0000 0.0000 0.0000
Li2 0.7500 0.2500 0.5000
Y1 0.1533 0.6250 0.0283
Y2 0.3750 0.4033 0.5283
Y3 0.5967 0.1250 0.9717
Y4 0.8750 0.8467 0.4717
Pd1 0.2500 0.7500 0.5000
Pd2 0.5000 0.5000 0.0000

## Properties
Space group: No. 122
Crystal system: tetragonal
Energy relative to the elements: -96 meV per atom